## Nd12DyEr2 (PBE-GGA)

Data for an optimized crystal structure of Nd12DyEr2.

a b c (Å): 6.850 6.850 25.016
angles (deg): 90.00 90.00 116.46
Fractional positions:
Nd: 0.001 0.501 0.130
Nd: 0.002 0.998 0.926
Nd: 0.019 0.519 0.586
Nd: 0.024 0.976 0.440
Nd: 0.250 0.250 0.198
Nd: 0.250 0.250 0.324
Nd: 0.250 0.250 0.676
Nd: 0.250 0.250 0.802
Nd: 0.476 0.524 0.440
Nd: 0.481 0.981 0.586
Nd: 0.498 0.502 0.926
Nd: 0.499 0.999 0.130
Nd: 0.501 0.001 0.870
Nd: 0.502 0.498 0.074
Nd: 0.519 0.019 0.414
Nd: 0.524 0.476 0.560
Nd: 0.750 0.750 0.198
Nd: 0.750 0.750 0.324
Nd: 0.750 0.750 0.676
Nd: 0.750 0.750 0.802
Nd: 0.976 0.024 0.560
Nd: 0.981 0.481 0.414
Nd: 0.998 0.002 0.074
Nd: 0.999 0.499 0.870
Dy: 0.250 0.750 0.001
Dy: 0.750 0.250 0.999
Er: 0.250 0.750 0.270
Er: 0.250 0.750 0.733
Er: 0.750 0.250 0.267
Er: 0.750 0.250 0.730

Results
Formation energy ... 2.4 eV/f.u.
Magnetic moment ... 0.00 μB per formula unit
Space group ... Cmme (67)

## AsHAuSe2 (PBE-GGA)

Data for an optimized crystal structure of AsHAuSe2.

a b c (Å): 5.077 5.077 3.339
angles (deg): 90.00 90.00 90.00
Fractional positions:
As: 0.000 0.000 0.000
H: 0.000 0.000 0.500
Au: 0.500 0.500 0.000
Se: 0.000 0.500 0.500
Se: 0.500 0.000 0.500

Results
ΔE to the lowest computed polymorph ... 0 meV/atom
Magnetic moment ... 0.00 μB per formula unit
Space group ... P4/mmm (123)

Q: What is the formula in the second record?
A: AsHAuSe2